# 1
Compound: Tl4Br3Cl
Source: Alexandria
Functional: GGA-PBE
Structure: optimized geometry

Computed properties:
* E: -46.6 eV/cell
* V: 729.81 Å³ per cell
* Fermi-level density of states: 0.0000 states/eV per atom
* raw formation energy: -869 meV per atom
* excess energy over the best structure of this formula in the dataset: 31 meV/atom

extended XYZ file:
```
16
Lattice="11.298 0.000 0.000 0.000 9.694 0.000 0.000 0.000 6.664" Properties=species:S:1:pos:R:3 pbc="T T T"
Tl 0.000 1.519 0.000
Tl 0.000 8.048 3.319
Tl 2.747 6.516 6.660
Tl 2.901 3.178 3.328
Tl 5.649 1.646 6.651
Tl 5.649 8.175 3.332
Tl 8.396 3.178 3.328
Tl 8.550 6.516 6.660
Br 0.000 1.611 3.332
Br 2.797 3.236 6.658
Br 2.852 6.458 3.326
Br 5.649 8.083 6.664
Br 8.446 6.458 3.326
Br 8.501 3.236 6.658
Cl 0.000 8.063 6.660
Cl 5.649 1.631 3.328
```

---

# 2
Compound: TbPrNd4Tm2
Source: Alexandria
Functional: GGA-PBE
Structure: optimized geometry

Computed properties:
* E: -37.3 eV/cell
* V: 268.01 Å³ per cell
* Fermi-level density of states: 1.3420 states/eV per atom

extended XYZ file:
```
8
Lattice="6.265 0.000 0.000 0.000 3.636 0.000 -2.101 0.000 11.764" Properties=species:S:1:pos:R:3 pbc="T T T"
Tb 0.000 0.000 0.000
Pr -1.050 1.818 5.882
Nd 1.043 1.818 2.939
Nd 0.000 0.000 8.874
Nd 4.165 0.000 2.891
Nd 3.121 1.818 8.825
Tm 2.082 0.000 5.882
Tm 3.133 1.818 0.000
```

---

Among the records above, which one has the lowest E? Tl4Br3Cl

---

Copy entry 2 word for word.
Compound: TbPrNd4Tm2
Source: Alexandria
Functional: GGA-PBE
Structure: optimized geometry

Computed properties:
* E: -37.3 eV/cell
* V: 268.01 Å³ per cell
* Fermi-level density of states: 1.3420 states/eV per atom

extended XYZ file:
```
8
Lattice="6.265 0.000 0.000 0.000 3.636 0.000 -2.101 0.000 11.764" Properties=species:S:1:pos:R:3 pbc="T T T"
Tb 0.000 0.000 0.000
Pr -1.050 1.818 5.882
Nd 1.043 1.818 2.939
Nd 0.000 0.000 8.874
Nd 4.165 0.000 2.891
Nd 3.121 1.818 8.825
Tm 2.082 0.000 5.882
Tm 3.133 1.818 0.000
```